Crystalline Pa2ClO4 at its relaxed geometry. Source: Alexandria, functional PBE.

Geometry as extended XYZ:
```
7
Lattice="-3.6124 -1.0367 0.8558 -1.7030 -2.8490 -1.9595 1.0513 -6.6867 5.0174" Properties=species:S:1:pos:R:3 pbc="T T T"
Pa -0.9083 -2.9444 1.2793
Pa -3.3558 -7.6280 2.6344
Cl 0.0000 0.0000 0.0000
O -1.4453 -6.5978 3.2669
O -0.1234 -4.4434 2.7767
O -2.8188 -3.9746 0.6468
O -4.1408 -6.1290 1.1370
```

Calculated values
- Symmetry: R-3m (166)

***

Crystalline Pu2Ga5Au at its relaxed geometry. Source: Alexandria, functional PBE.

Geometry as extended XYZ:
```
16
Lattice="4.3257 -0.0019 0.0001 -2.1658 8.4316 -0.0044 0.0011 -0.0048 9.0759" Properties=species:S:1:pos:R:3 pbc="T T T"
Pu 2.1629 5.0152 6.8477
Pu -0.0019 3.4097 2.2240
Pu 0.0000 0.0000 0.0000
Pu 0.0006 -0.0024 4.5380
Ga 0.0002 3.1569 8.0690
Ga 2.1609 5.2680 1.0027
Ga -0.0008 3.2660 5.4483
Ga 2.1619 5.1589 3.6234
Ga 0.0003 5.9212 8.8693
Ga 2.1607 2.5037 0.2024
Ga -0.0001 5.9705 4.7555
Ga 2.1612 2.4544 4.3162
Ga 2.1625 1.5879 6.7904
Ga -0.0014 6.8370 2.2813
Au 0.0017 7.4897 6.8264
Au 2.1594 0.9352 2.2452
```

Calculated values
- Formation energy: -2.7 eV per formula unit
- Symmetry: P-1 (2)

***

| no. | uncorrected energy (Ry/atom) |
| --- | --- |
| 1 | -0.6658 |
| 2 | -0.4572 |